(w)
A plane-wave DFT calculation with PBE was carried out for an optimized crystal structure of La2Sm6Er.

Cell: 6.2912 6.3240 8.9299 Å, 89.98 61.97 80.44°
Closest atoms and distances in Å follow each position.
Atoms (fractional coordinates):
1 La 0.3353 0.6099 0.7205  1 La 3.62, 2 Er 3.63, 9 Sm 3.64-3.67
2 La 0.6647 0.3901 0.2795  1 La 3.62, 2 Er 3.63, 9 Sm 3.64-3.67
3 Sm 0.6671 0.7235 0.9438  8 Sm 3.63-3.66, 3 La 3.64-3.66, 1 Er 3.65
4 Sm 0.3329 0.2765 0.0562  8 Sm 3.63-3.66, 3 La 3.64-3.66, 1 Er 3.65
5 Sm 0.0005 0.8315 0.1674  8 Sm 3.63-3.67, 1 Er 3.63, 3 La 3.64-3.67
6 Sm 0.3300 0.9461 0.3899  7 Sm 3.60-3.66, 2 Er 3.64, 3 La 3.65-3.66
7 Sm 0.9995 0.1685 0.8326  8 Sm 3.63-3.67, 1 Er 3.63, 3 La 3.64-3.67
8 Sm 0.6700 0.0539 0.6101  7 Sm 3.60-3.66, 2 Er 3.64, 3 La 3.65-3.66
9 Er 0.0000 0.5000 0.5000  4 La 3.63, 8 Sm 3.63-3.65

Properties
symmetry	P-1, No. 2
DOS at the Fermi energy	14.29	states/eV/f.u.

---

(x)
A plane-wave DFT calculation with PBE was carried out for an optimized crystal structure of La2Sm6Er.

Cell: 3.6429 3.6429 27.0374 Å, 90.00 90.00 120.00°
Closest atoms and distances in Å follow each position.
Atoms (fractional coordinates):
1 La 0.6667 0.3333 0.3285  6 Sm 3.63-3.76, 6 La 3.64
2 La 0.6667 0.3333 0.6715  6 Sm 3.63-3.76, 6 La 3.64
3 Sm 0.6667 0.3333 0.8946  3 Er 3.54, 9 Sm 3.59-3.64
4 Sm 0.3333 0.6667 0.4377  7 Sm 3.37-3.64, 3 La 3.63
5 Sm 0.3333 0.6667 0.7870  9 Sm 3.59-3.64, 3 La 3.76
6 Sm 0.3333 0.6667 0.2130  9 Sm 3.59-3.64, 3 La 3.76
7 Sm 0.3333 0.6667 0.5623  7 Sm 3.37-3.64, 3 La 3.63
8 Sm 0.6667 0.3333 0.1054  3 Er 3.54, 9 Sm 3.59-3.64
9 Er 0.3333 0.6667 0.0000  6 Sm 3.54, 6 Er 3.64

Properties
symmetry	P-6m2, No. 187
DOS at the Fermi energy	15.61	states/eV/f.u.

---

Among the structures above, stability is smallest for (x).